The following is a GGA-PBE calculation of Ca2PaPd8 after structural relaxation, from the Alexandria database.

Calculated values
N(E_F)   0.454 states/eV/atom
ΔH_f (0 K)   -619.0 meV/atom
SG   C2/m, No. 12
Energy   -5.62 eV/atom

a b c (Å): 7.7608 7.7608 6.5878
angles (deg): 105.84 105.84 31.95
Element x y z (fractional)
Ca  0.2196  0.2196  0.1603
Ca  0.7804  0.7804  0.8397
Pa  0.5000  0.5000  0.5000
Pd  0.0365  0.0365  0.2246
Pd  0.1352  0.1352  0.6644
Pd  0.3278  0.3278  0.5931
Pd  0.4158  0.4158  0.0632
Pd  0.5843  0.5843  0.9368
Pd  0.6722  0.6722  0.4069
Pd  0.8648  0.8648  0.3356
Pd  0.9635  0.9635  0.7754

The following is a GGA-PBE calculation of Li2AgIr after structural relaxation, from the Alexandria database.

Calculated values
N(E_F)   0.704 states/eV/atom
ΔH_f (0 K)   -19.6 meV/atom
SG   Cm, No. 8
Energy   -3.90 eV/atom

a b c (Å): 4.8916 4.8916 4.8120
angles (deg): 97.73 97.73 31.24
Element x y z (fractional)
Li  0.0000  0.0000  0.0000
Li  0.2403  0.2403  0.7076
Ag  0.4912  0.4912  0.4871
Ir  0.7451  0.7451  0.2001